Entry 1:
Density functional theory data (PBEsol) for TeSeI2N after structural relaxation.

Computed properties:
- formation energy without anion corrections (eV/atom) = 0.811
- Fermi-level density of states (states/eV/cell) = 3.562

Geometry as CIF:
```
data_TeSeI2N
_chemical_formula_sum 'Te1 Se1 I2 N1'
_space_group_name_H-M_alt 'P 4/m m m'
_space_group_IT_number 123
_space_group_name_Hall '-P 4 2'
_cell_length_a 5.989
_cell_length_b 5.989
_cell_length_c 3.654
_cell_angle_alpha 90.00
_cell_angle_beta 90.00
_cell_angle_gamma 90.00
loop_
_atom_site_label
_atom_site_type_symbol
_atom_site_fract_x
_atom_site_fract_y
_atom_site_fract_z
Te1 Te 0.000 0.000 0.000
Se1 Se 0.500 0.500 0.500
I1 I 0.000 0.500 0.500
N1 N 0.500 0.500 0.000
```

Entry 2:
Density functional theory data (PBEsol) for WSeI2N after structural relaxation.

Computed properties:
- formation energy without anion corrections (eV/atom) = 0.501
- Fermi-level density of states (states/eV/cell) = 3.790

Geometry as CIF:
```
data_WSeI2N
_chemical_formula_sum 'W1 Se1 I2 N1'
_space_group_name_H-M_alt 'P 4/m m m'
_space_group_IT_number 123
_space_group_name_Hall '-P 4 2'
_cell_length_a 5.425
_cell_length_b 5.425
_cell_length_c 3.812
_cell_angle_alpha 90.00
_cell_angle_beta 90.00
_cell_angle_gamma 90.00
loop_
_atom_site_label
_atom_site_type_symbol
_atom_site_fract_x
_atom_site_fract_y
_atom_site_fract_z
W1 W 0.000 0.000 0.000
Se1 Se 0.500 0.500 0.500
I1 I 0.000 0.500 0.000
N1 N 0.000 0.000 0.500
```

Entry 3:
Density functional theory data (PBEsol) for YSeIN2 after structural relaxation.

Computed properties:
- formation energy without anion corrections (eV/atom) = 0.951
- Fermi-level density of states (states/eV/cell) = 2.745

Geometry as CIF:
```
data_YSeIN2
_chemical_formula_sum 'Y1 Se1 I1 N2'
_space_group_name_H-M_alt 'P 4/m m m'
_space_group_IT_number 123
_space_group_name_Hall '-P 4 2'
_cell_length_a 4.150
_cell_length_b 4.150
_cell_length_c 5.222
_cell_angle_alpha 90.00
_cell_angle_beta 90.00
_cell_angle_gamma 90.00
loop_
_atom_site_label
_atom_site_type_symbol
_atom_site_fract_x
_atom_site_fract_y
_atom_site_fract_z
Y1 Y 0.000 0.000 0.000
Se1 Se 0.500 0.500 0.500
I1 I 0.500 0.500 0.000
N1 N 0.000 0.500 0.500
```

no.,total DFT energy (no corrections) (eV per atom)
1,-3.0760
2,-5.4429
3,-4.9478